1.
# NbCo7Ge2As2

NbCo7Ge2As2 after structural relaxation (PBE, the Alexandria database).

calculated formation energy	-0.95	kcal/mol of atoms
total magnetization	2.380	μB per formula unit

Cell and atoms, written as CIF:
```
data_NbCo7Ge2As2
_space_group_name_H-M_alt 'C 1 2/m 1'
_space_group_IT_number 12
_cell_length_a 4.921
_cell_length_b 4.985
_cell_length_c 14.116
_cell_angle_alpha 90.00
_cell_angle_beta 96.00
_cell_angle_gamma 90.00
loop_
_space_group_symop_operation_xyz
'x,y,z'
'-x,-y,-z'
'-x,y,-z'
'x,-y,z'
'x+1/2,y+1/2,z'
'-x+1/2,-y+1/2,-z'
'-x+1/2,y+1/2,-z'
'x+1/2,-y+1/2,z'
loop_
_atom_site_label
_atom_site_fract_x
_atom_site_fract_y
_atom_site_fract_z
Nb1 0.000 0.000 0.000
Co1 0.000 0.500 0.000
Co2 0.127 0.500 0.413
Co3 0.209 0.250 0.863
Ge1 0.142 0.000 0.422
As1 0.075 0.500 0.248
```

2.
# LiTlS2

LiTlS2 after structural relaxation (PBE, the Alexandria database).

total magnetization	0.000	μB per formula unit
formation energy from raw total energies	-583	meV per atom

Cell and atoms, written as CIF:
```
data_LiTlS2
_space_group_name_H-M_alt 'P 1'
_space_group_IT_number 1
_cell_length_a 4.436
_cell_length_b 6.873
_cell_length_c 7.478
_cell_angle_alpha 69.70
_cell_angle_beta 81.88
_cell_angle_gamma 71.38
loop_
_space_group_symop_operation_xyz
'x,y,z'
loop_
_atom_site_label
_atom_site_fract_x
_atom_site_fract_y
_atom_site_fract_z
Li1 0.000 0.000 0.000
Li2 0.049 0.364 0.335
Tl1 0.393 0.472 0.767
Tl2 0.689 0.929 0.624
S1 0.044 0.218 0.674
S2 0.416 0.876 0.232
S3 0.523 0.168 0.181
S4 0.772 0.691 0.093
```

3.
# BiSbI2N

BiSbI2N after structural relaxation (PBE, the Alexandria database).

total magnetization	0.001	μB per formula unit
formation energy from raw total energies	1720	meV per atom
relative energy among the computed polymorphs	1.0596	eV per atom

Cell and atoms, written as CIF:
```
data_BiSbI2N
_space_group_name_H-M_alt 'P 4/m m m'
_space_group_IT_number 123
_space_group_name_Hall '-P 4 2'
_cell_length_a 6.015
_cell_length_b 6.015
_cell_length_c 6.115
_cell_angle_alpha 90.00
_cell_angle_beta 90.00
_cell_angle_gamma 90.00
loop_
_atom_site_label
_atom_site_fract_x
_atom_site_fract_y
_atom_site_fract_z
Bi1 0.000 0.000 0.000
Sb1 0.000 0.000 0.500
I1 0.000 0.500 0.000
N1 0.500 0.500 0.500
```

4.
# OsBr2Cl

OsBr2Cl after structural relaxation (PBE, the Alexandria database).

total magnetization	2.594	μB per formula unit
formation energy from raw total energies	1325	meV per atom
relative energy among the computed polymorphs	1.3200	eV per atom

Cell and atoms, written as CIF:
```
data_OsBr2Cl
_space_group_name_H-M_alt 'P m m m'
_space_group_IT_number 47
_cell_length_a 3.146
_cell_length_b 4.426
_cell_length_c 7.261
_cell_angle_alpha 90.00
_cell_angle_beta 90.00
_cell_angle_gamma 90.00
loop_
_space_group_symop_operation_xyz
'x,y,z'
'-x,-y,-z'
'-x,-y,z'
'x,y,-z'
'x,-y,-z'
'-x,y,z'
'-x,y,-z'
'x,-y,z'
loop_
_atom_site_label
_atom_site_fract_x
_atom_site_fract_y
_atom_site_fract_z
Os1 0.000 0.000 0.000
Br1 0.000 0.500 0.500
Br2 0.500 0.000 0.500
Cl1 0.500 0.500 0.000
```

5.
# HfBOs2Rh

HfBOs2Rh after structural relaxation (PBE, the Alexandria database).

calculated formation energy	-10.83	kcal/mol of atoms
total magnetization	0.000	μB per formula unit
relative energy among the computed polymorphs	0.0000	eV per atom

Cell and atoms, written as CIF:
```
data_HfBOs2Rh
_space_group_name_H-M_alt 'P 4/m m m'
_space_group_IT_number 123
_space_group_name_Hall '-P 4 2'
_cell_length_a 4.156
_cell_length_b 4.156
_cell_length_c 4.091
_cell_angle_alpha 90.00
_cell_angle_beta 90.00
_cell_angle_gamma 90.00
loop_
_atom_site_label
_atom_site_fract_x
_atom_site_fract_y
_atom_site_fract_z
Hf1 0.000 0.000 0.000
B1 0.500 0.500 0.500
Os1 0.000 0.500 0.500
Rh1 0.500 0.500 0.000
```

6.
# Ho2TmGa2

Ho2TmGa2 after structural relaxation (PBE, the Alexandria database).

calculated formation energy	-9.60	kcal/mol of atoms
total magnetization	0.000	μB per formula unit
relative energy among the computed polymorphs	0.1148	eV per atom

Cell and atoms, written as CIF:
```
data_Ho2TmGa2
_space_group_name_H-M_alt 'C m c 21'
_space_group_IT_number 36
_cell_length_a 5.297
_cell_length_b 14.891
_cell_length_c 6.170
_cell_angle_alpha 90.00
_cell_angle_beta 90.00
_cell_angle_gamma 90.00
loop_
_space_group_symop_operation_xyz
'x,y,z'
'-x,-y,z+1/2'
'-x,y,z'
'x,-y,z+1/2'
'x+1/2,y+1/2,z'
'-x+1/2,-y+1/2,z+1/2'
'-x+1/2,y+1/2,z'
'x+1/2,-y+1/2,z+1/2'
loop_
_atom_site_label
_atom_site_fract_x
_atom_site_fract_y
_atom_site_fract_z
Ho1 0.000 0.043 0.000
Ho2 0.000 0.202 0.432
Tm1 0.000 0.410 0.181
Ga1 0.000 0.228 0.905
Ga2 0.000 0.392 0.698
```